PBE Cs2LaLuS4, relaxed; calculated total energy = -5.287 eV/atom; space group = P-3m1; density = 4.844 g/cm3
1.0
4.1779 0.0000 0.0000
-2.0889 3.6182 0.0000
0.0000 0.0000 16.0536
Cs La Lu S
2 1 1 4
Cartesian
0.0000 2.4121 3.9224
2.0889 1.2061 12.1312
0.0000 0.0000 8.0268
0.0000 0.0000 0.0000
0.0000 2.4121 9.6156
0.0000 2.4121 14.6895
2.0889 1.2061 1.3642
2.0889 1.2061 6.4380